A plane-wave DFT calculation with GGA+U was carried out for MgNi2RhF after structural relaxation.

abc: 4.632 4.632 5.024
angles: 90.00 90.00 90.00
Space group P4/mmm (No. 123)
Unique sites:
Mg (0.000, 0.000, 0.000) [1 per cell]
Ni (0.000, 0.500, 0.500) [2 per cell]
Rh (0.000, 0.000, 0.500) [1 per cell]
F (0.500, 0.500, 0.000) [1 per cell]

Total DFT energy (no corrections): -2.65 eV/atom
Theoretical density: 4.1 Mg/m³